Computed, not measured: a geometry-optimized CoSiMo2 structure at the GGA-PBE level of DFT.

Cell lengths 2.7119, 3.9710, 5.0951 Å; angles 90.00, 94.28, 90.00 degrees
Positions (direct):
Co  0.0000  0.0000  0.0000
Si  0.0000  0.0000  0.5000
Mo  0.4731  0.5000  0.7497
Mo  0.5269  0.5000  0.2503

## Properties
The crystal system is monoclinic.



Computed, not measured: a geometry-optimized Co2SiMo structure at the GGA-PBE level of DFT.

Cell lengths 4.8647, 4.8647, 2.6280 Å; angles 102.88, 102.88, 117.18 degrees
Positions (direct):
Co  0.0000  0.5000  0.0000
Co  0.5000  0.0000  0.0000
Si  0.0000  0.0000  0.5000
Mo  0.5000  0.5000  0.5000

## Properties
The crystal system is monoclinic.



Computed, not measured: a geometry-optimized CoSiMo2 structure at the GGA-PBE level of DFT.

Cell lengths 4.9343, 4.9343, 4.5142 Å; angles 108.85, 108.85, 31.46 degrees
Positions (direct):
Co  0.0000  0.0000  0.0000
Si  0.3047  0.3047  0.6911
Mo  0.5504  0.5504  0.5249
Mo  0.7509  0.7509  0.1546

## Properties
The crystal system is monoclinic.



Number 1: electronic total energy -8.634 eV/atom, V 13.68 Å³ per atom. Number 2: electronic total energy -7.614 eV/atom, V 12.50 Å³ per atom. Number 3: electronic total energy -8.703 eV/atom, V 13.51 Å³ per atom.